Density functional theory data (PBE) for a geometry-optimized ErHg8 structure.

Calculated values
Raw total energy = -0.893 eV per atom

The structure in extended XYZ format:
```
9
Lattice="-5.0447 5.0447 2.1962 5.0447 -5.0447 2.1962 5.0447 5.0447 -2.1962" Properties=species:S:1:pos:R:3 pbc="T T T"
Er 0.0000 0.0000 0.0000
Hg 3.3582 0.0000 0.0000
Hg 6.7313 0.0000 0.0000
Hg 0.0000 3.3582 0.0000
Hg 3.3783 3.3783 0.0000
Hg 1.6664 -1.6664 2.1962
Hg -1.6664 1.6664 2.1962
Hg 1.6664 1.6664 2.1962
Hg 0.0000 6.7313 0.0000
```


Density functional theory data (PBE) for a geometry-optimized Mg3Sn structure.

Calculated values
Raw total energy = -2.260 eV per atom

The structure in extended XYZ format:
```
4
Lattice="0.0000 3.6064 3.6064 3.6064 0.0000 3.6064 3.6064 3.6064 0.0000" Properties=species:S:1:pos:R:3 pbc="T T T"
Mg 0.0000 0.0000 0.0000
Mg 1.8032 1.8032 1.8032
Mg 5.4096 5.4096 5.4096
Sn 3.6064 3.6064 3.6064
```


Density functional theory data (PBE) for a geometry-optimized KMg2As structure.

Calculated values
Raw total energy = -2.005 eV per atom

The structure in extended XYZ format:
```
4
Lattice="3.1638 -5.4437 0.0000 3.1638 5.4437 0.0000 0.0000 0.0000 3.0983" Properties=species:S:1:pos:R:3 pbc="T T T"
K 0.0000 0.0000 0.0000
Mg 1.5819 2.7219 1.5492
Mg 1.5819 -2.7219 1.5492
As 3.1638 0.0000 0.0000
```


Density functional theory data (PBE) for a geometry-optimized Tb7Nd3Er structure.

Calculated values
Raw total energy = -4.490 eV per atom
Energy relative to the lowest polymorph listed for this composition = 0.37 eV per formula unit

The structure in extended XYZ format:
```
11
Lattice="7.1008 0.0000 0.0000 -3.5504 6.1495 0.0000 0.0000 0.0000 8.7064" Properties=species:S:1:pos:R:3 pbc="T T T"
Tb 0.0000 0.0000 0.0000
Tb 0.0000 2.0392 5.8868
Tb -1.7844 5.1299 5.8868
Tb 3.5504 0.0114 0.0166
Tb 1.7851 3.0690 0.0166
Tb 1.7844 5.1299 5.8868
Tb 5.3157 3.0690 0.0166
Nd 1.7762 1.0255 2.9571
Nd 5.3246 1.0255 2.9571
Nd 3.5504 4.0985 2.9571
Er 3.5504 2.0498 5.9104
```


Number 1: calculated density 13.16 g cm⁻³. Number 2: calculated density 3.39 g cm⁻³. Number 3: calculated density 2.53 g cm⁻³. Number 4: calculated density 7.48 g cm⁻³.